Density functional theory data (PBE-GGA) for a relaxed Na2Mg2In2IrAu crystal.

a = 4.7567 Å, b = 4.7567 Å, c = 6.8206 Å
α = 90.00°, β = 90.00°, γ = 90.00°
Last column: nearest neighbours and their distance in Å.
Space group P-4m2 (No. 115)
Unique sites:
Na (0.0000, 0.0000, 0.0000)  4 In 2.86, 4 Mg 2.88
Na (0.5000, 0.5000, 0.5000)  4 Mg 2.98, 4 In 2.99
Mg (0.0000, 0.5000, 0.2376)  4 Na 2.88-2.98, 2 Ir 2.88, 2 Au 2.98, 1 In 3.22
In (0.0000, 0.5000, 0.7661)  4 Na 2.86-2.99, 2 Ir 2.86, 2 Au 2.99
Ir (0.5000, 0.5000, 0.0000)  4 In 2.86, 4 Mg 2.88
Au (0.0000, 0.0000, 0.5000)  4 Mg 2.98, 4 In 2.99

Summary:
The total DFT energy (no corrections) is -0.230 Ry per atom.

=====

Density functional theory data (PBE-GGA) for a relaxed Pr3Mg2InIr2Au crystal.

a = 4.1618 Å, b = 13.1302 Å, c = 7.6602 Å
α = 90.00°, β = 90.00°, γ = 90.00°
Last column: nearest neighbours and their distance in Å.
Space group Amm2 (No. 38)
Unique sites:
Pr (0.0000, 0.0000, 0.0000)  4 Ir 3.08, 1 Au 3.13, 2 In 3.26
Pr (0.0000, 0.2073, 0.6333)  4 Ir 3.09-3.11, 1 Au 3.22, 2 Mg 3.27, 2 In 3.44
Mg (0.5000, 0.1260, 0.2971)  2 Au 2.79, 2 Ir 2.89
In (0.5000, 0.0000, 0.6717)  2 Au 2.90, 2 Ir 2.94
Ir (0.5000, 0.1672, 0.9265)  2 Mg 2.89, 1 In 2.94, 6 Pr 3.08-3.11
Au (0.0000, 0.0000, 0.4081)  4 Mg 2.79, 2 In 2.90, 1 Pr 3.13

Summary:
The total DFT energy (no corrections) is -0.382 Ry per atom.

=====

no.,size of the total moment (μB/f.u.)
1,0.002
2,0.006